This record from Alexandria describes a relaxed structure of LiMgBe. The functional is PBE-GGA.

Results
ΔH_f (0 K) in kJ/mol of formula units: 47
Density of states at the Fermi level in states/eV/atom: 0.271

Geometry as CIF:
```
data_LiMgBe
_cell_length_a 4.007
_cell_length_b 4.952
_cell_length_c 5.104
_cell_angle_alpha 85.59
_cell_angle_beta 89.97
_cell_angle_gamma 66.49
_symmetry_space_group_name_H-M 'P 1'
_symmetry_Int_Tables_number 1
loop_
_symmetry_equiv_pos_as_xyz
'x,y,z'
loop_
_atom_site_label
_atom_site_type_symbol
_atom_site_fract_x
_atom_site_fract_y
_atom_site_fract_z
Li1 Li 0.000 0.000 0.000
Li2 Li 0.418 0.164 0.291
Mg1 Mg 0.142 0.721 0.528
Mg2 Mg 0.710 0.578 0.018
Be1 Be 0.402 0.196 0.765
Be2 Be 0.853 0.297 0.573
```

=====

This record from Alexandria describes a relaxed structure of AcNd4Ni. The functional is PBE-GGA.

Results
ΔH_f (0 K) in kJ/mol of formula units: -24
Density of states at the Fermi level in states/eV/atom: 1.506

Geometry as CIF:
```
data_AcNd4Ni
_cell_length_a 18.249
_cell_length_b 7.550
_cell_length_c 6.199
_cell_angle_alpha 90.00
_cell_angle_beta 109.84
_cell_angle_gamma 90.00
_symmetry_space_group_name_H-M 'C 1 2/m 1'
_symmetry_Int_Tables_number 12
loop_
_symmetry_equiv_pos_as_xyz
'x,y,z'
'-x,-y,-z'
'-x,y,-z'
'x,-y,z'
'x+1/2,y+1/2,z'
'-x+1/2,-y+1/2,-z'
'-x+1/2,y+1/2,-z'
'x+1/2,-y+1/2,z'
loop_
_atom_site_label
_atom_site_type_symbol
_atom_site_fract_x
_atom_site_fract_y
_atom_site_fract_z
Ac1 Ac 0.197 0.000 0.197
Nd1 Nd 0.000 0.238 0.000
Nd2 Nd 0.113 0.253 0.613
Nd3 Nd 0.173 0.500 0.174
Ni1 Ni 0.000 0.500 0.304
```

=====

This record from Alexandria describes a relaxed structure of Rb2Sb4O11. The functional is PBE-GGA.

Results
E_form (uncorrected) in kJ/mol of formula units: -2512.7
Density of states at the Fermi level in states/eV/atom: 0.000

Geometry as CIF:
```
data_Rb2Sb4O11
_cell_length_a 19.896
_cell_length_b 7.705
_cell_length_c 7.340
_cell_angle_alpha 90.00
_cell_angle_beta 95.75
_cell_angle_gamma 90.00
_symmetry_space_group_name_H-M 'C 1 2/m 1'
_symmetry_Int_Tables_number 12
loop_
_symmetry_equiv_pos_as_xyz
'x,y,z'
'-x,-y,-z'
'-x,y,-z'
'x,-y,z'
'x+1/2,y+1/2,z'
'-x+1/2,-y+1/2,-z'
'-x+1/2,y+1/2,-z'
'x+1/2,-y+1/2,z'
loop_
_atom_site_label
_atom_site_type_symbol
_atom_site_fract_x
_atom_site_fract_y
_atom_site_fract_z
Rb1 Rb 0.008 0.000 0.255
Rb2 Rb 0.235 0.000 0.007
Sb1 Sb 0.071 0.500 0.099
Sb2 Sb 0.076 0.500 0.618
Sb3 Sb 0.174 0.243 0.438
O1 O 0.000 0.329 0.000
O2 O 0.023 0.500 0.346
O3 O 0.089 0.246 0.572
O4 O 0.117 0.500 0.870
O5 O 0.128 0.301 0.191
O6 O 0.159 0.000 0.359
O7 O 0.167 0.500 0.512
O8 O 0.237 0.213 0.667
```

=====

This record from Alexandria describes a relaxed structure of BaLiCa2Al. The functional is PBE-GGA.

Results
ΔH_f (0 K) in kJ/mol of formula units: 43
Density of states at the Fermi level in states/eV/atom: 0.661

Geometry as CIF:
```
data_BaLiCa2Al
_cell_length_a 6.006
_cell_length_b 6.006
_cell_length_c 5.449
_cell_angle_alpha 90.00
_cell_angle_beta 90.00
_cell_angle_gamma 90.00
_symmetry_space_group_name_H-M 'P 4/m m m'
_symmetry_Int_Tables_number 123
_symmetry_space_group_name_Hall '-P 4 2'
loop_
_atom_site_label
_atom_site_type_symbol
_atom_site_fract_x
_atom_site_fract_y
_atom_site_fract_z
Ba1 Ba 0.000 0.000 0.000
Li1 Li 0.500 0.500 0.000
Ca1 Ca 0.000 0.500 0.500
Al1 Al 0.500 0.500 0.500
```

=====

This record from Alexandria describes a relaxed structure of CsK2IF6. The functional is PBE-GGA.

Results
E_form (uncorrected) in kJ/mol of formula units: -2138.4
Density of states at the Fermi level in states/eV/atom: 0.000

Geometry as CIF:
```
data_CsK2IF6
_cell_length_a 6.629
_cell_length_b 6.718
_cell_length_c 6.858
_cell_angle_alpha 61.11
_cell_angle_beta 61.26
_cell_angle_gamma 62.81
_symmetry_space_group_name_H-M 'P 1'
_symmetry_Int_Tables_number 1
loop_
_symmetry_equiv_pos_as_xyz
'x,y,z'
loop_
_atom_site_label
_atom_site_type_symbol
_atom_site_fract_x
_atom_site_fract_y
_atom_site_fract_z
Cs1 Cs 0.000 0.000 0.000
K1 K 0.249 0.209 0.305
K2 K 0.759 0.697 0.792
I1 I 0.610 0.494 0.505
F1 F 0.104 0.399 0.607
F2 F 0.393 0.797 0.622
F3 F 0.530 0.796 0.205
F4 F 0.540 0.379 0.876
F5 F 0.803 0.125 0.612
F6 F 0.826 0.388 0.196
```

=====

This record from Alexandria describes a relaxed structure of La6HfO12. The functional is PBE-GGA.

Results
E_form (uncorrected) in kJ/mol of formula units: -5969.4
Density of states at the Fermi level in states/eV/atom: 0.967

Geometry as CIF:
```
data_La6HfO12
_cell_length_a 10.4443
_cell_length_b 10.4443
_cell_length_c 9.9258
_cell_angle_alpha 90.00
_cell_angle_beta 90.00
_cell_angle_gamma 120.00
_symmetry_space_group_name_H-M 'R -3'
_symmetry_Int_Tables_number 148
_symmetry_space_group_name_Hall '-R 3'
loop_
_atom_site_label
_atom_site_type_symbol
_atom_site_fract_x
_atom_site_fract_y
_atom_site_fract_z
La1 La 0.0533 0.2608 0.1549
Hf1 Hf 0.0000 0.0000 0.5000
O1 O 0.0390 0.2268 0.9036
O2 O 0.0399 0.1927 0.3936
```

=====

This record from Alexandria describes a relaxed structure of Sr2LaCr. The functional is PBE-GGA.

Results
ΔH_f (0 K) in kJ/mol of formula units: 192
Density of states at the Fermi level in states/eV/atom: 1.236

Geometry as CIF:
```
data_Sr2LaCr
_cell_length_a 3.918
_cell_length_b 3.918
_cell_length_c 10.006
_cell_angle_alpha 90.00
_cell_angle_beta 90.00
_cell_angle_gamma 90.00
_symmetry_space_group_name_H-M 'P 4/m m m'
_symmetry_Int_Tables_number 123
_symmetry_space_group_name_Hall '-P 4 2'
loop_
_atom_site_label
_atom_site_type_symbol
_atom_site_fract_x
_atom_site_fract_y
_atom_site_fract_z
Sr1 Sr 0.000 0.000 0.206
La1 La 0.500 0.500 0.500
Cr1 Cr 0.500 0.500 0.000
```

=====

This record from Alexandria describes a relaxed structure of ThTl2SnSe4. The functional is PBE-GGA.

Results
E_form (uncorrected) in kJ/mol of formula units: -728.6

Geometry as CIF:
```
data_ThTl2SnSe4
_cell_length_a 7.573
_cell_length_b 4.356
_cell_length_c 8.016
_cell_angle_alpha 90.00
_cell_angle_beta 107.81
_cell_angle_gamma 90.00
_symmetry_space_group_name_H-M 'P 1 2/m 1'
_symmetry_Int_Tables_number 10
loop_
_symmetry_equiv_pos_as_xyz
'x,y,z'
'-x,-y,-z'
'-x,y,-z'
'x,-y,z'
loop_
_atom_site_label
_atom_site_type_symbol
_atom_site_fract_x
_atom_site_fract_y
_atom_site_fract_z
Th1 Th 0.000 0.000 0.000
Tl1 Tl 0.000 0.500 0.500
Tl2 Tl 0.500 0.000 0.500
Sn1 Sn 0.500 0.500 0.000
Se1 Se 0.227 0.500 0.209
Se2 Se 0.250 0.000 0.790
```

=====

This record from Alexandria describes a relaxed structure of Er2Cu3Pd. The functional is PBE-GGA.

Results
ΔH_f (0 K) in kJ/mol of formula units: -248
Density of states at the Fermi level in states/eV/atom: 0.591

Geometry as CIF:
```
data_Er2Cu3Pd
_cell_length_a 6.863
_cell_length_b 8.572
_cell_length_c 15.034
_cell_angle_alpha 90.00
_cell_angle_beta 90.00
_cell_angle_gamma 90.00
_symmetry_space_group_name_H-M 'F m m m'
_symmetry_Int_Tables_number 69
_symmetry_space_group_name_Hall '-F 2 2'
loop_
_atom_site_label
_atom_site_type_symbol
_atom_site_fract_x
_atom_site_fract_y
_atom_site_fract_z
Er1 Er 0.249 0.000 0.000
Er2 Er 0.250 0.250 0.250
Cu1 Cu 0.000 0.000 0.337
Cu2 Cu 0.000 0.243 0.419
Pd1 Pd 0.000 0.000 0.167
```

=====

This record from Alexandria describes a relaxed structure of CaCu2Ag. The functional is PBE-GGA.

Results
ΔH_f (0 K) in kJ/mol of formula units: 3
Density of states at the Fermi level in states/eV/atom: 0.311

Geometry as CIF:
```
data_CaCu2Ag
_cell_length_a 3.409
_cell_length_b 3.489
_cell_length_c 6.219
_cell_angle_alpha 90.00
_cell_angle_beta 90.00
_cell_angle_gamma 90.00
_symmetry_space_group_name_H-M 'P m m m'
_symmetry_Int_Tables_number 47
loop_
_symmetry_equiv_pos_as_xyz
'x,y,z'
'-x,-y,-z'
'-x,-y,z'
'x,y,-z'
'x,-y,-z'
'-x,y,z'
'-x,y,-z'
'x,-y,z'
loop_
_atom_site_label
_atom_site_type_symbol
_atom_site_fract_x
_atom_site_fract_y
_atom_site_fract_z
Ca1 Ca 0.000 0.000 0.000
Cu1 Cu 0.500 0.500 0.298
Ag1 Ag 0.000 0.000 0.500
```